1.
LaGaC3, relaxed, DFT PBEsol; ΔH_f (0 K) = 6.97 eV/f.u.
1.0
4.0376 0.0000 0.0000
0.0000 4.0376 0.0000
0.0000 0.0000 4.0376
La Ga C
1 1 3
direct
0.0000 0.0000 0.0000 La
0.5000 0.5000 0.5000 Ga
0.0000 0.5000 0.5000 C
0.5000 0.0000 0.5000 C
0.5000 0.5000 0.0000 C

***

2.
NbTe2NCl, relaxed, DFT PBEsol; E_form (uncorrected) = 0.75 eV/f.u.
1.0
5.4690 0.0000 0.0000
0.0000 5.4690 0.0000
0.0000 0.0000 3.8954
Nb Te N Cl
1 2 1 1
direct
0.0000 0.0000 0.0000 Nb
0.0000 0.5000 0.0000 Te
0.5000 0.0000 0.0000 Te
0.0000 0.0000 0.5000 N
0.5000 0.5000 0.5000 Cl

***

3.
Ir2W, relaxed, DFT PBEsol; ΔH_f (0 K) = -1.09 eV/f.u.
1.0
4.7814 0.0000 0.0000
0.0000 4.3684 0.0000
0.0000 0.0000 8.3157
Ir W
8 4
direct
0.1581 0.2500 0.1716 Ir
0.1668 0.2500 0.5060 Ir
0.3332 0.7500 0.0060 Ir
0.3419 0.7500 0.6716 Ir
0.6581 0.2500 0.3284 Ir
0.6668 0.2500 0.9940 Ir
0.8332 0.7500 0.4940 Ir
0.8419 0.7500 0.8284 Ir
0.1701 0.2500 0.8422 W
0.3299 0.7500 0.3422 W
0.6701 0.2500 0.6578 W
0.8299 0.7500 0.1578 W

***

4.
CuAg2Ru2, relaxed, DFT PBEsol; ΔH_f (0 K) = 5.28 eV/f.u.
1.0
-1.7914 1.7914 6.3232
1.7914 -1.7914 6.3232
1.7914 1.7914 -6.3232
Cu Ag Ru
1 2 2
direct
0.0000 0.0000 0.0000 Cu
0.2500 0.7500 0.5000 Ag
0.7500 0.2500 0.5000 Ag
0.4119 0.4119 0.0000 Ru
0.5881 0.5881 0.0000 Ru

***

5.
CoIr2Rh, relaxed, DFT PBEsol; ΔH_f (0 K) = 0.06 eV/f.u.
1.0
4.3749 -1.3328 0.0000
4.3749 1.3328 0.0000
-0.8249 0.0000 4.4722
Co Ir Rh
1 2 1
direct
0.0000 0.0000 0.0000 Co
0.2537 0.2537 0.7517 Ir
0.5025 0.5025 0.5033 Ir
0.7489 0.7489 0.2421 Rh

***

6.
K2InHgI6, relaxed, DFT PBEsol; E_form (uncorrected) = -7.54 eV/f.u.
1.0
0.0000 5.9194 5.9194
5.9194 0.0000 5.9194
5.9194 5.9194 0.0000
K In Hg I
2 1 1 6
direct
0.2500 0.2500 0.2500 K
0.7500 0.7500 0.7500 K
0.0000 0.0000 0.0000 In
0.5000 0.5000 0.5000 Hg
0.2474 0.2474 0.7526 I
0.2474 0.7526 0.2474 I
0.2474 0.7526 0.7526 I
0.7526 0.2474 0.2474 I
0.7526 0.2474 0.7526 I
0.7526 0.7526 0.2474 I

***

7.
BaY2F8, relaxed, DFT PBEsol; E_form (uncorrected) = -45.41 eV/f.u.
1.0
3.4712 -5.2199 0.0000
3.4712 5.2199 0.0000
-0.7175 0.0000 4.1847
Ba Y F
1 2 8
direct
0.0000 0.0000 0.0000 Ba
0.3238 0.6762 0.5000 Y
0.6762 0.3238 0.5000 Y
0.0473 0.3267 0.5627 F
0.2592 0.7408 0.0000 F
0.3267 0.0473 0.5627 F
0.3914 0.3914 0.2221 F
0.6086 0.6086 0.7779 F
0.6733 0.9527 0.4373 F
0.7408 0.2592 0.0000 F
0.9527 0.6733 0.4373 F

***

8.
LiRe2Ru, relaxed, DFT PBEsol; ΔH_f (0 K) = 1.31 eV/f.u.
1.0
2.9502 0.0000 0.0000
0.0000 4.2281 0.0000
0.0000 0.0000 4.3460
Li Re Ru
1 2 1
direct
0.0000 0.0000 0.0000 Li
0.0000 0.5000 0.5000 Re
0.5000 0.0000 0.5000 Re
0.5000 0.5000 0.0000 Ru